Record 1
# HoInTe5Pb2

Crystalline HoInTe5Pb2 at its relaxed geometry (GGA-PBE, the Alexandria database).

## Properties
The calculation puts the spin magnetization at 0.000 μB/f.u. Its space group is Cmc2_1 (36). As for the crystal system: orthorhombic.

a = 10.342 Å, b = 10.342 Å, c = 14.266 Å
α = 90.00°, β = 90.00°, γ = 155.39°
Fractional coordinates of all 18 atoms:
Ho1 0.197 0.803 0.500
Ho2 0.803 0.197 0.000
In1 0.447 0.553 0.909
In2 0.553 0.447 0.409
Te1 0.041 0.959 0.532
Te2 0.298 0.702 0.152
Te3 0.312 0.688 0.847
Te4 0.348 0.652 0.492
Te5 0.479 0.521 0.246
Te6 0.521 0.479 0.746
Te7 0.652 0.348 0.992
Te8 0.688 0.312 0.347
Te9 0.702 0.298 0.652
Te10 0.959 0.041 0.032
Pb1 0.126 0.874 0.803
Pb2 0.146 0.854 0.146
Pb3 0.854 0.146 0.646
Pb4 0.874 0.126 0.303



Record 2
# Na2PuPbF8

Crystalline Na2PuPbF8 at its relaxed geometry (GGA-PBE, the Alexandria database).

## Properties
The calculation puts the spin magnetization at 4.000 μB/f.u. Its space group is Pmmm (47). As for the crystal system: orthorhombic.

a = 3.998 Å, b = 5.703 Å, c = 8.073 Å
α = 90.00°, β = 90.00°, γ = 90.00°
Fractional coordinates of all 12 atoms:
Na1 0.000 0.000 0.235
Na2 0.000 0.000 0.765
Pu1 0.500 0.500 0.500
Pb1 0.500 0.500 0.000
F1 0.000 0.243 0.000
F2 0.000 0.281 0.500
F3 0.000 0.719 0.500
F4 0.000 0.757 0.000
F5 0.500 0.261 0.284
F6 0.500 0.261 0.716
F7 0.500 0.739 0.284
F8 0.500 0.739 0.716



no.,calculated volume (Å³/cell),VASP energy (eV for the cell shown),formation energy (no corrections) (meV/atom)
1,635.4,-72.106,-624
2,184.1,-71.336,-2974